LiPb2W at its PBEsol-relaxed geometry, computed with meta-GGA SCAN.

Results
spin magnetization: 0.0 μB/cell
energy relative to the lowest polymorph listed for this composition: 56.1 meV/atom
calculated volume: 81.4 Å³ per cell
energy of formation from the pure elements: 591 meV per atom

Unit cell a=3.0175 b=4.9847 c=5.6453 alpha=95.49 beta=105.50 gamma=90.00
With the nearest neighbours (Å) after each atom.
Positions (direct):
Li 0.7618 0.2349 0.5236  5 Pb 2.82-3.03, 2 Li 3.02
Pb 0.0030 0.0375 0.0061  4 W 2.86-2.97, 1 Li 2.89, 2 Pb 3.02
Pb 0.2404 0.7055 0.4808  4 Li 2.82-3.03, 3 W 3.00-3.13, 2 Pb 3.02
W 0.4947 0.5221 0.9895  7 Pb 2.86-3.13, 2 W 3.02, 2 Li 3.17

***

LiPb2W at its PBEsol-relaxed geometry, computed with meta-GGA SCAN.

Results
spin magnetization: 0.0 μB/cell
energy relative to the lowest polymorph listed for this composition: 229.2 meV/atom
calculated volume: 84.2 Å³ per cell
energy of formation from the pure elements: 764 meV per atom

Unit cell a=3.1857 b=4.6236 c=5.7138 alpha=90.00 beta=90.00 gamma=90.00
With the nearest neighbours (Å) after each atom.
Positions (direct):
Li 0.0000 0.5000 0.5000  4 Pb 2.81
Pb 0.0000 0.0000 0.0000  4 W 2.81
Pb 0.5000 0.0000 0.5000  4 Li 2.81
W 0.5000 0.5000 0.0000  4 Pb 2.81

***

LiYPb2 at its PBEsol-relaxed geometry, computed with meta-GGA SCAN.

Results
spin magnetization: 0.0 μB/cell
calculated volume: 100.7 Å³ per cell
energy of formation from the pure elements: -498 meV per atom

Unit cell a=4.3988 b=4.3988 c=6.0636 alpha=111.27 beta=111.27 gamma=90.00
With the nearest neighbours (Å) after each atom.
Positions (direct):
Li 0.2500 0.7500 0.5000  8 Pb 3.11-3.41, 4 Y 3.41
Pb 0.0000 0.0000 0.0000  4 Y 3.11, 4 Li 3.41, 4 Pb 3.41
Pb 0.7500 0.2500 0.5000  4 Li 3.11, 4 Y 3.41, 4 Pb 3.41
Y 0.5000 0.5000 0.0000  8 Pb 3.11-3.41, 4 Li 3.41

***

Which of these has the lowest energy of formation from the pure elements?
LiYPb2

***

Look up the calculated volume of the third one.
100.7 Å³ per cell

***

Among the records above, which one has the highest calculated volume?
LiYPb2